Here is an optimized crystal structure of Mn2Mo2Cl7 from Alexandria via LeMat-Bulk. Energies are from PBE-GGA.

The density of states at the Fermi level comes out at 3.66 states/eV/cell. The calculation puts the total moment at 9.0 μB per formula unit. The final energy comes out at -5.4716 eV per atom.

It has space group C2/c (No. 15), with a = 10.165 Å, b = 9.948 Å, c = 13.562 Å, α = 90.00°, β = 111.19° and γ = 90.00°. Symmetry generates all atoms from Mn at (0.213, 0.100, 0.324), Mo at (0.100, 0.039, 0.510), Cl at (0.000, 0.221, 0.250), Cl at (0.094, 0.276, 0.561), Cl at (0.192, 0.104, 0.904) and Cl at (0.224, 0.462, 0.822).

---

Here is an optimized crystal structure of MnTlMoOsCl from Alexandria via LeMat-Bulk. Energies are from PBE-GGA.

As for the energy above the most stable polymorph in this dataset: 233 meV per atom. The density of states at the Fermi level comes out at 6.59 states/eV/cell. The calculation puts the total moment at 0.0 μB per formula unit. The final energy comes out at -6.7567 eV per atom.

It has space group Cm (No. 8), with a = 3.978 Å, b = 3.978 Å, c = 11.613 Å, α = 90.00°, β = 99.09° and γ = 90.00°. Symmetry generates all atoms from Mn at (0.000, 0.000, 0.000), Tl at (0.252, 0.000, 0.461), Mo at (0.354, 0.500, 0.684), Os at (0.435, 0.000, 0.860) and Cl at (0.061, 0.500, 0.135).

---

Here is an optimized crystal structure of MnTlMoOsCl from Alexandria via LeMat-Bulk. Energies are from PBE-GGA.

As for the energy above the most stable polymorph in this dataset: 338 meV per atom. The density of states at the Fermi level comes out at 10.14 states/eV/cell. The calculation puts the total moment at 0.0 μB per formula unit. The final energy comes out at -6.6521 eV per atom.

It has space group Cm (No. 8), with a = 8.950 Å, b = 2.998 Å, c = 8.145 Å, α = 90.00°, β = 95.68° and γ = 90.00°. Symmetry generates all atoms from Mn at (0.000, 0.000, 0.000), Tl at (0.111, 0.000, 0.589), Mo at (0.400, 0.000, 0.796), Os at (0.206, 0.500, 0.944) and Cl at (0.358, 0.500, 0.210).

---

Here is an optimized crystal structure of MnTlMoOsCl from Alexandria via LeMat-Bulk. Energies are from PBE-GGA.

As for the energy above the most stable polymorph in this dataset: 0 meV per atom. The density of states at the Fermi level comes out at 3.04 states/eV/cell. The calculation puts the total moment at 4.2 μB per formula unit. The final energy comes out at -6.9900 eV per atom.

It has space group P1 (No. 1), with a = 3.075 Å, b = 3.117 Å, c = 10.400 Å, α = 82.16°, β = 89.66° and γ = 89.85°. Symmetry generates all atoms from Mn at (0.000, 0.000, 0.000), Tl at (0.490, 0.264, 0.523), Mo at (0.994, 0.861, 0.307), Os at (0.497, 0.422, 0.172) and Cl at (0.503, 0.075, 0.825).